## Ca7Cu5 (GGA-PBE)

Data for a relaxed structure of Ca7Cu5.

Values from the calculation:
energy relative to the elements	0.25	eV/atom
Fermi-level density of states	10.52	states/eV/cell
space group	I4mm

Lattice parameters (Å, degrees): 8.1229 8.1229 8.1229 124.52 124.52 82.33
Closest atoms and distances in Å follow each position.
Atoms (fractional coordinates):
1 Ca 0.0000 0.0000 0.0000  4 Cu 3.04
2 Ca 0.1480 0.4375 0.7105  3 Cu 3.08-3.20, 4 Ca 3.10-3.41
3 Ca 0.1910 0.6910 0.5000  4 Cu 3.11, 4 Ca 3.41-3.49
4 Ca 0.4375 0.1480 0.7105  3 Cu 3.08-3.20, 4 Ca 3.10-3.41
5 Ca 0.4375 0.7270 0.2895  3 Cu 3.08-3.20, 4 Ca 3.10-3.41
6 Ca 0.6910 0.1910 0.5000  4 Cu 3.11, 4 Ca 3.41-3.49
7 Ca 0.7270 0.4375 0.2895  3 Cu 3.08-3.20, 4 Ca 3.10-3.41
8 Cu 0.6282 0.6282 0.0000  4 Cu 2.72
9 Cu 0.6330 0.6330 0.6703  3 Cu 2.49-2.72
10 Cu 0.6330 0.9628 0.0000  3 Cu 2.49-2.72
11 Cu 0.9628 0.6330 0.0000  3 Cu 2.49-2.72
12 Cu 0.9628 0.9628 0.3297  3 Cu 2.49-2.72